Below is a relaxed structure of Tm3Mg5Cd2, with properties calculated at the PBE level.

The density comes out at 5.50 Mg/m³. For the formation enthalpy at 0 K, the calculation gives 0.24 eV per formula unit.

The structure belongs to space group Ibam (No. 72); the cell edges are 12.244, 13.665 and 6.157 Å and the angles 90.00°, 90.00° and 90.00°. Symmetry generates all atoms from Tm at (0.000, 0.000, 0.250), Tm at (0.125, 0.235, 0.000), Mg at (0.000, 0.500, 0.250), Mg at (0.118, 0.348, 0.500), Mg at (0.245, 0.500, 0.250) and Cd at (0.139, 0.151, 0.500).